(1)
# LaIn2Cu PBEsol relaxed
# * DFT total energy: -0.311 Ry per atom
# * calculated density: 7.4 g/cm³
# * E_form: -0.318 eV per atom
# * magnetic moment: 0.000 μB per formula unit
data_LaIn2Cu
_chemical_formula_sum 'La3 In6 Cu3'
_symmetry_space_group_name_H-M 'R -3 m'
_symmetry_Int_Tables_number 166
_symmetry_space_group_name_Hall '-R 3 2"'
_cell_length_a 4.4540
_cell_length_b 4.4540
_cell_length_c 16.8857
_cell_angle_alpha 90.00
_cell_angle_beta 90.00
_cell_angle_gamma 120.00
loop_
_atom_site_label
_atom_site_type_symbol
_atom_site_fract_x
_atom_site_fract_y
_atom_site_fract_z
La1 La 0.0000 0.0000 0.0000
In1 In 0.0000 0.0000 0.2147
Cu1 Cu 0.0000 0.0000 0.5000



(2)
# Fe2MoCl PBEsol relaxed
# * DFT total energy: -0.531 Ry per atom
# * energy above the most stable polymorph in this dataset: 0.074 eV per atom
# * calculated density: 8.0 g/cm³
# * formation energy from raw total energies: 16.24 kcal/mol of atoms
# * magnetic moment: 3.597 μB per formula unit
data_Fe2MoCl
_chemical_formula_sum 'Fe8 Mo4 Cl4'
_symmetry_space_group_name_H-M 'F -4 3 m'
_symmetry_Int_Tables_number 216
_symmetry_space_group_name_Hall 'F -4 2 3'
_cell_length_a 5.867
_cell_length_b 5.867
_cell_length_c 5.867
_cell_angle_alpha 90.00
_cell_angle_beta 90.00
_cell_angle_gamma 90.00
loop_
_atom_site_label
_atom_site_type_symbol
_atom_site_fract_x
_atom_site_fract_y
_atom_site_fract_z
Fe1 Fe 0.000 0.000 0.000
Fe2 Fe 0.250 0.250 0.250
Mo1 Mo 0.000 0.000 0.500
Cl1 Cl 0.250 0.250 0.750



(3)
# CaZrAu PBEsol relaxed
# * DFT total energy: -0.373 Ry per atom
# * energy above the most stable polymorph in this dataset: 0.027 eV per atom
# * calculated density: 7.4 g/cm³
# * E_form: -0.028 eV per atom
# * magnetic moment: 0.003 μB per formula unit
data_CaZrAu
_chemical_formula_sum 'Ca1 Zr1 Au1'
_symmetry_space_group_name_H-M 'P 3 m 1'
_symmetry_Int_Tables_number 156
_symmetry_space_group_name_Hall 'P 3 -2"'
_cell_length_a 3.4662
_cell_length_b 3.4662
_cell_length_c 7.1017
_cell_angle_alpha 90.00
_cell_angle_beta 90.00
_cell_angle_gamma 120.00
loop_
_atom_site_label
_atom_site_type_symbol
_atom_site_fract_x
_atom_site_fract_y
_atom_site_fract_z
Ca1 Ca 0.0000 0.0000 0.0000
Zr1 Zr 0.3333 0.6667 0.5925
Au1 Au 0.6667 0.3333 0.3203



(4)
# SiSb2Mo PBEsol relaxed
# * DFT total energy: -0.453 Ry per atom
# * calculated density: 8.1 g/cm³
# * formation energy from raw total energies: 11.31 kcal/mol of atoms
# * magnetic moment: 0.000 μB per formula unit
data_SiSb2Mo
_chemical_formula_sum 'Si2 Sb4 Mo2'
_symmetry_space_group_name_H-M 'I m m m'
_symmetry_Int_Tables_number 71
_symmetry_space_group_name_Hall '-I 2 2'
_cell_length_a 3.658
_cell_length_b 4.950
_cell_length_c 8.374
_cell_angle_alpha 90.00
_cell_angle_beta 90.00
_cell_angle_gamma 90.00
loop_
_atom_site_label
_atom_site_type_symbol
_atom_site_fract_x
_atom_site_fract_y
_atom_site_fract_z
Si1 Si 0.000 0.000 0.000
Sb1 Sb 0.000 0.500 0.270
Mo1 Mo 0.000 0.000 0.500



(5)
# SrLi2Nb2O7 PBEsol relaxed
# * DFT total energy: -0.586 Ry per atom
# * calculated density: 4.7 g/cm³
# * formation energy from raw total energies: -60.56 kcal/mol of atoms
# * magnetic moment: 0.000 μB per formula unit
data_SrLi2Nb2O7
_chemical_formula_sum 'Sr4 Li8 Nb8 O28'
_symmetry_space_group_name_H-M 'C m c m'
_symmetry_Int_Tables_number 63
_symmetry_space_group_name_Hall '-C 2c 2'
_cell_length_a 18.010
_cell_length_b 5.625
_cell_length_c 5.608
_cell_angle_alpha 90.00
_cell_angle_beta 90.00
_cell_angle_gamma 90.00
loop_
_atom_site_label
_atom_site_type_symbol
_atom_site_fract_x
_atom_site_fract_y
_atom_site_fract_z
Sr1 Sr 0.000 0.245 0.250
Li1 Li 0.238 0.000 0.000
Nb1 Nb 0.116 0.255 0.750
O1 O 0.000 0.198 0.750
O2 O 0.093 0.500 0.000
O3 O 0.118 0.000 0.000
O4 O 0.220 0.286 0.750



(6)
# CaCo2Mo PBEsol relaxed
# * DFT total energy: -0.507 Ry per atom
# * calculated density: 6.7 g/cm³
# * E_form: 0.451 eV per atom
# * magnetic moment: 0.003 μB per formula unit
data_CaCo2Mo
_chemical_formula_sum 'Ca1 Co2 Mo1'
_symmetry_space_group_name_H-M 'P 1 m 1'
_symmetry_Int_Tables_number 6
_symmetry_space_group_name_Hall 'P -2y'
_cell_length_a 2.976
_cell_length_b 4.078
_cell_length_c 5.404
_cell_angle_alpha 90.00
_cell_angle_beta 105.83
_cell_angle_gamma 90.00
loop_
_atom_site_label
_atom_site_type_symbol
_atom_site_fract_x
_atom_site_fract_y
_atom_site_fract_z
Ca1 Ca 0.000 0.000 0.000
Co1 Co 0.609 0.500 0.221
Co2 Co 0.741 0.000 0.488
Mo1 Mo 0.277 0.500 0.558



(7)
# ZrBe2As PBEsol relaxed
# * DFT total energy: -0.425 Ry per atom
# * calculated density: 5.7 g/cm³
# * E_form: -0.232 eV per atom
# * magnetic moment: 0.000 μB per formula unit
data_ZrBe2As
_chemical_formula_sum 'Zr1 Be2 As1'
_symmetry_space_group_name_H-M 'P 4/m m m'
_symmetry_Int_Tables_number 123
_symmetry_space_group_name_Hall '-P 4 2'
_cell_length_a 3.822
_cell_length_b 3.822
_cell_length_c 3.695
_cell_angle_alpha 90.00
_cell_angle_beta 90.00
_cell_angle_gamma 90.00
loop_
_atom_site_label
_atom_site_type_symbol
_atom_site_fract_x
_atom_site_fract_y
_atom_site_fract_z
Zr1 Zr 0.000 0.000 0.000
Be1 Be 0.000 0.500 0.500
As1 As 0.500 0.500 0.000



(8)
# TaPbW PBEsol relaxed
# * DFT total energy: -0.652 Ry per atom
# * calculated density: 14.3 g/cm³
# * E_form: 1.243 eV per atom
# * magnetic moment: 0.000 μB per formula unit
data_TaPbW
_chemical_formula_sum 'Ta4 Pb4 W4'
_symmetry_space_group_name_H-M 'F -4 3 m'
_symmetry_Int_Tables_number 216
_symmetry_space_group_name_Hall 'F -4 2 3'
_cell_length_a 6.434
_cell_length_b 6.434
_cell_length_c 6.434
_cell_angle_alpha 90.00
_cell_angle_beta 90.00
_cell_angle_gamma 90.00
loop_
_atom_site_label
_atom_site_type_symbol
_atom_site_fract_x
_atom_site_fract_y
_atom_site_fract_z
Ta1 Ta 0.000 0.000 0.000
Pb1 Pb 0.250 0.250 0.750
W1 W 0.250 0.250 0.250



> Among the records above, which one has the highest magnetic moment?

Fe2MoCl